# 1
# NaTlGe2As

A relaxed structure of NaTlGe2As (GGA-PBEsol, Alexandria).

Lattice parameters (Å, degrees): 5.053 5.053 5.209 90.00 90.00 90.00
Fractional coordinates of all 5 atoms:
Na 0.000 0.000 0.000
Tl 0.500 0.500 0.000
Ge 0.000 0.500 0.500
Ge 0.500 0.000 0.500
As 0.000 0.000 0.500

Its space-group type is P4/mmm, No. 123. Its crystal system is tetragonal. Its formation energy is 0.370 eV/atom.

# 2
# Na2Zn3GeAs4

A relaxed structure of Na2Zn3GeAs4 (GGA-PBEsol, Alexandria).

Lattice parameters (Å, degrees): 8.409 8.409 7.009 114.20 114.20 28.06
Fractional coordinates of all 10 atoms:
Na 0.000 0.000 0.000
Na 0.510 0.510 0.491
Zn 0.332 0.332 0.638
Zn 0.716 0.716 0.383
Zn 0.836 0.836 0.174
Ge 0.195 0.195 0.845
As 0.145 0.145 0.458
As 0.362 0.362 0.015
As 0.642 0.642 0.977
As 0.889 0.889 0.549

Its space-group type is Cm, No. 8. Its crystal system is monoclinic. Its formation energy is -0.256 eV/atom.

# 3
# NbGeAs

A relaxed structure of NbGeAs (GGA-PBEsol, Alexandria).

Lattice parameters (Å, degrees): 3.557 3.557 7.926 90.00 90.00 90.00
Fractional coordinates of all 6 atoms:
Nb 0.250 0.250 0.239
Nb 0.750 0.750 0.761
Ge 0.250 0.750 0.500
Ge 0.750 0.250 0.500
As 0.250 0.250 0.891
As 0.750 0.750 0.109

Its space-group type is P4/nmm, No. 129. Its crystal system is tetragonal. Its formation energy is -0.526 eV/atom.

# 4
# NbSiGe2As

A relaxed structure of NbSiGe2As (GGA-PBEsol, Alexandria).

Lattice parameters (Å, degrees): 4.790 4.790 4.589 90.00 90.00 90.00
Fractional coordinates of all 5 atoms:
Nb 0.000 0.000 0.000
Si 0.500 0.500 0.000
Ge 0.000 0.500 0.500
Ge 0.500 0.000 0.500
As 0.500 0.500 0.500

Its space-group type is P4/mmm, No. 123. Its crystal system is tetragonal. The uncorrected formation energy comes out at 1203 meV/atom.

# 5
# Ni3GeAs

A relaxed structure of Ni3GeAs (GGA-PBEsol, Alexandria).

Lattice parameters (Å, degrees): 4.290 4.290 4.290 90.00 90.00 90.00
Fractional coordinates of all 5 atoms:
Ni 0.000 0.000 0.500
Ni 0.000 0.500 0.000
Ni 0.500 0.000 0.000
Ge 0.500 0.500 0.500
As 0.000 0.000 0.000

Its space-group type is Pm-3m, No. 221. Its crystal system is cubic. Its formation energy is 0.415 eV/atom.

# 6
# Ni4Ge3As9

A relaxed structure of Ni4Ge3As9 (GGA-PBEsol, Alexandria).

Lattice parameters (Å, degrees): 7.137 7.137 8.196 124.98 124.98 71.23
Fractional coordinates of all 16 atoms:
Ni 0.247 0.753 0.000
Ni 0.253 0.752 0.499
Ni 0.752 0.253 0.499
Ni 0.753 0.247 0.000
Ge 0.592 0.592 0.692
Ge 0.595 0.595 0.998
Ge 0.906 0.906 0.308
As 0.062 0.748 0.652
As 0.099 0.402 0.839
As 0.099 0.405 0.157
As 0.402 0.099 0.839
As 0.405 0.099 0.157
As 0.446 0.756 0.349
As 0.748 0.062 0.652
As 0.756 0.446 0.349
As 0.904 0.904 0.004

Its space-group type is Cm, No. 8. Its crystal system is monoclinic. Its formation energy is -0.206 eV/atom.

no.,VASP energy (eV per atom),density (Mg/m³)
1,-3.433,5.59
2,-3.547,4.83
3,-7.481,7.96
4,-5.107,5.38
5,-5.289,6.81
6,-5.544,6.68